DFT (GGA+U) results for Cs2CoSe2O6 after structural relaxation.

Properties
calculated total energy	-55.9	eV for the cell shown

Unit cell a=7.414 b=7.414 c=7.414 alpha=44.70 beta=44.70 gamma=44.70
Site moments in Bohr magnetons follow the coordinates.
Atoms (fractional coordinates):
Se1 0.364 0.364 0.364  0.00
Se2 0.636 0.636 0.636  0.00
O1 0.240 0.240 0.722  0.04
O2 0.722 0.240 0.240  0.04
O3 0.240 0.722 0.240  0.04
O4 0.760 0.278 0.760  0.04
O5 0.760 0.760 0.278  0.04
O6 0.278 0.760 0.760  0.04
Cs1 0.196 0.196 0.196  0.00
Cs2 0.804 0.804 0.804  0.00
Co1 0.000 0.000 0.000  2.70